# Li2ScSb | Alexandria via LeMat-Bulk | GGA-PBE | relaxed
data_Li2ScSb
_chemical_formula_sum 'Li2 Sc1 Sb1'
_symmetry_space_group_name_H-M 'P 1'
_symmetry_Int_Tables_number 1
_symmetry_space_group_name_Hall 'P 1'
_cell_length_a 4.811
_cell_length_b 4.811
_cell_length_c 4.811
_cell_angle_alpha 120.12
_cell_angle_beta 120.12
_cell_angle_gamma 89.79
loop_
_atom_site_label
_atom_site_type_symbol
_atom_site_fract_x
_atom_site_fract_y
_atom_site_fract_z
Li1 Li 0.000 0.000 0.000
Li2 Li 0.750 0.250 0.500
Sc1 Sc 0.250 0.750 0.500
Sb1 Sb 0.500 0.500 0.000
# Space group: I-4m2 (119)
# Uncorrected formation energy (meV/atom): -424
# D(E_F) (states/eV per atom): 0.376

# KTcPt2 | Alexandria via LeMat-Bulk | GGA-PBE | relaxed
data_KTcPt2
_chemical_formula_sum 'K1 Tc1 Pt2'
_symmetry_space_group_name_H-M 'P 1'
_symmetry_Int_Tables_number 1
_symmetry_space_group_name_Hall 'P 1'
_cell_length_a 5.137
_cell_length_b 5.137
_cell_length_c 2.744
_cell_angle_alpha 90.00
_cell_angle_beta 90.00
_cell_angle_gamma 102.92
loop_
_atom_site_label
_atom_site_type_symbol
_atom_site_fract_x
_atom_site_fract_y
_atom_site_fract_z
K1 K 0.000 0.000 0.000
Tc1 Tc 0.500 0.500 0.000
Pt1 Pt 0.000 0.500 0.500
Pt2 Pt 0.500 0.000 0.500
# Energy of formation (eV per atom): 0.48
# Space group: Cmmm (65)
# Offset from the most stable computed form (eV/atom): 0.396
# D(E_F) (states/eV per atom): 0.583

# Er3BiPS | Alexandria via LeMat-Bulk | GGA-PBE | relaxed
data_Er3BiPS
_chemical_formula_sum 'Er6 Bi2 P2 S2'
_symmetry_space_group_name_H-M 'P 1'
_symmetry_Int_Tables_number 1
_symmetry_space_group_name_Hall 'P 1'
_cell_length_a 6.994
_cell_length_b 4.125
_cell_length_c 10.730
_cell_angle_alpha 90.00
_cell_angle_beta 102.31
_cell_angle_gamma 90.00
loop_
_atom_site_label
_atom_site_type_symbol
_atom_site_fract_x
_atom_site_fract_y
_atom_site_fract_z
Er1 Er 0.038 0.250 0.148
Er2 Er 0.240 0.250 0.509
Er3 Er 0.442 0.750 0.845
Er4 Er 0.558 0.250 0.155
Er5 Er 0.760 0.750 0.491
Er6 Er 0.962 0.750 0.852
Bi1 Bi 0.345 0.750 0.307
Bi2 Bi 0.655 0.250 0.693
P1 P 0.235 0.250 0.945
P2 P 0.765 0.750 0.055
S1 S 0.128 0.750 0.639
S2 S 0.872 0.250 0.361
# Space group: P2_1/m (11)
# Uncorrected formation energy (meV/atom): -1411
# D(E_F) (states/eV per atom): 0.301

# RbHfCoSe3 | Alexandria via LeMat-Bulk | GGA-PBE | relaxed
data_RbHfCoSe3
_chemical_formula_sum 'Rb2 Hf2 Co2 Se6'
_symmetry_space_group_name_H-M 'P 1'
_symmetry_Int_Tables_number 1
_symmetry_space_group_name_Hall 'P 1'
_cell_length_a 9.247
_cell_length_b 3.805
_cell_length_c 9.865
_cell_angle_alpha 90.00
_cell_angle_beta 115.58
_cell_angle_gamma 90.00
loop_
_atom_site_label
_atom_site_type_symbol
_atom_site_fract_x
_atom_site_fract_y
_atom_site_fract_z
Rb1 Rb 0.226 0.250 0.246
Rb2 Rb 0.774 0.750 0.754
Hf1 Hf 0.309 0.750 0.831
Hf2 Hf 0.691 0.250 0.169
Co1 Co 0.082 0.250 0.592
Co2 Co 0.918 0.750 0.408
Se1 Se 0.118 0.250 0.853
Se2 Se 0.208 0.750 0.535
Se3 Se 0.470 0.750 0.143
Se4 Se 0.530 0.250 0.857
Se5 Se 0.792 0.250 0.465
Se6 Se 0.882 0.750 0.147
# Space group: P2_1/m (11)
# Uncorrected formation energy (meV/atom): -1053
# D(E_F) (states/eV per atom): 0.263

# Ba2ZnIn6Ag | Alexandria via LeMat-Bulk | GGA-PBE | relaxed
data_Ba2ZnIn6Ag
_chemical_formula_sum 'Ba4 Zn2 In12 Ag2'
_symmetry_space_group_name_H-M 'P 1'
_symmetry_Int_Tables_number 1
_symmetry_space_group_name_Hall 'P 1'
_cell_length_a 14.100
_cell_length_b 14.100
_cell_length_c 14.100
_cell_angle_alpha 29.55
_cell_angle_beta 29.55
_cell_angle_gamma 29.55
loop_
_atom_site_label
_atom_site_type_symbol
_atom_site_fract_x
_atom_site_fract_y
_atom_site_fract_z
Ba1 Ba 0.138 0.138 0.138
Ba2 Ba 0.310 0.310 0.310
Ba3 Ba 0.690 0.690 0.690
Ba4 Ba 0.862 0.862 0.862
Zn1 Zn 0.419 0.419 0.419
Zn2 Zn 0.581 0.581 0.581
In1 In 0.070 0.642 0.642
In2 In 0.200 0.200 0.765
In3 In 0.200 0.765 0.200
In4 In 0.235 0.800 0.800
In5 In 0.358 0.358 0.930
In6 In 0.358 0.930 0.358
In7 In 0.642 0.070 0.642
In8 In 0.642 0.642 0.070
In9 In 0.765 0.200 0.200
In10 In 0.800 0.235 0.800
In11 In 0.800 0.800 0.235
In12 In 0.930 0.358 0.358
Ag1 Ag 0.000 0.000 0.000
Ag2 Ag 0.500 0.500 0.500
# Energy of formation (eV per atom): -0.19
# Space group: R-3m (166)
# D(E_F) (states/eV per atom): 0.439

# Lu2CdP | Alexandria via LeMat-Bulk | GGA-PBE | relaxed
data_Lu2CdP
_chemical_formula_sum 'Lu2 Cd1 P1'
_symmetry_space_group_name_H-M 'P 1'
_symmetry_Int_Tables_number 1
_symmetry_space_group_name_Hall 'P 1'
_cell_length_a 8.189
_cell_length_b 8.189
_cell_length_c 8.189
_cell_angle_alpha 26.66
_cell_angle_beta 26.66
_cell_angle_gamma 26.66
loop_
_atom_site_label
_atom_site_type_symbol
_atom_site_fract_x
_atom_site_fract_y
_atom_site_fract_z
Lu1 Lu 0.234 0.234 0.234
Lu2 Lu 0.766 0.766 0.766
Cd1 Cd 0.000 0.000 0.000
P1 P 0.500 0.500 0.500
# Energy of formation (eV per atom): -0.85
# Space group: R-3m (166)
# D(E_F) (states/eV per atom): 0.418

> Which value of D(E_F) does entry 4 give?

0.263 states/eV per atom

> Among the records above, which one has the highest D(E_F)?

KTcPt2

> What is the D(E_F) in the fourth record?

0.263 states/eV per atom

> D(E_F) of number 5 (Ba2ZnIn6Ag)?

0.439 states/eV per atom